## MnO2 (meta-GGA SCAN)

Data for MnO2 at its PBEsol-relaxed geometry.

## Properties
SG	C2/m, No. 12
formation energy (no corrections)	-2107	meV/atom
crystal system	monoclinic

Cell lengths 2.8399, 4.5585, 6.8217 Å; angles 94.11, 102.01, 90.00 degrees
Element x y z (fractional)
O: 0.7655 0.2837 0.5311
O: 0.5719 0.8461 0.1437
O: 0.2345 0.7163 0.4689
O: 0.0903 0.3423 0.1806
O: 0.9097 0.6577 0.8194
O: 0.4281 0.1539 0.8563
Mn: 0.6586 0.5352 0.3172
Mn: 0.0000 0.0000 0.0000
Mn: 0.3414 0.4648 0.6828